No. 1
Compound: CaLaSn2I
Source: the Alexandria database
Functional: PBE
Structure: relaxed

Values from the calculation:
D(E_F) ... 1.125 states/eV per atom
Raw formation energy ... -52 meV/atom
VASP energy ... -3.349 eV/atom
Density ... 4.03 Mg/m³
SG ... No. 123

Cell: 6.050 6.050 6.113 Å, 90.00 90.00 90.00°
Fractional coordinates of all 5 atoms:
Ca1 0.000 0.000 0.000
La1 0.500 0.500 0.500
Sn1 0.000 0.500 0.500
Sn2 0.500 0.000 0.500
I1 0.500 0.500 0.000

No. 2
Compound: TlCd3C4O12
Source: the Alexandria database
Functional: PBE
Structure: relaxed

Values from the calculation:
D(E_F) ... 0.200 states/eV per atom
Raw formation energy ... -1252 meV/atom
VASP energy ... -6.327 eV/atom
Density ... 5.00 Mg/m³
SG ... No. 155

Cell: 6.564 6.564 6.564 Å, 102.40 102.40 102.40°
Fractional coordinates of all 20 atoms:
Tl1 0.000 0.000 0.000
Cd1 0.000 0.528 0.472
Cd2 0.472 0.000 0.528
Cd3 0.528 0.472 0.000
C1 0.030 0.500 0.970
C2 0.500 0.500 0.500
C3 0.500 0.970 0.030
C4 0.970 0.030 0.500
O1 0.022 0.618 0.834
O2 0.096 0.904 0.500
O3 0.166 0.382 0.978
O4 0.373 0.627 0.500
O5 0.382 0.978 0.166
O6 0.500 0.096 0.904
O7 0.500 0.373 0.627
O8 0.618 0.834 0.022
O9 0.627 0.500 0.373
O10 0.834 0.022 0.618
O11 0.904 0.500 0.096
O12 0.978 0.166 0.382

No. 3
Compound: Ce6Ga3Ru
Source: the Alexandria database
Functional: PBE
Structure: relaxed

Values from the calculation:
D(E_F) ... 2.120 states/eV per atom
VASP energy ... -5.683 eV/atom
Density ... 7.62 Mg/m³
DFT formation energy ... -286.6 meV/atom
SG ... No. 166

Cell: 7.957 7.957 7.957 Å, 86.75 86.75 86.75°
Fractional coordinates of all 20 atoms:
Ce1 0.111 0.769 0.769
Ce2 0.165 0.513 0.513
Ce3 0.231 0.231 0.889
Ce4 0.231 0.889 0.231
Ce5 0.487 0.487 0.835
Ce6 0.487 0.835 0.487
Ce7 0.513 0.165 0.513
Ce8 0.513 0.513 0.165
Ce9 0.769 0.111 0.769
Ce10 0.769 0.769 0.111
Ce11 0.835 0.487 0.487
Ce12 0.889 0.231 0.231
Ga1 0.117 0.117 0.534
Ga2 0.117 0.534 0.117
Ga3 0.466 0.883 0.883
Ga4 0.534 0.117 0.117
Ga5 0.883 0.466 0.883
Ga6 0.883 0.883 0.466
Ru1 0.000 0.000 0.000
Ru2 0.500 0.500 0.500

No. 4
Compound: HoEr2AgN
Source: the Alexandria database
Functional: PBE
Structure: relaxed

Values from the calculation:
D(E_F) ... 1.366 states/eV per atom
Raw formation energy ... -768 meV/atom
VASP energy ... -5.744 eV/atom
Density ... 9.64 Mg/m³
SG ... No. 123

Cell: 4.727 4.727 4.788 Å, 90.00 90.00 90.00°
Fractional coordinates of all 5 atoms:
Ho1 0.000 0.000 0.000
Er1 0.000 0.500 0.500
Er2 0.500 0.000 0.500
Ag1 0.500 0.500 0.000
N1 0.000 0.000 0.500

No. 5
Compound: NaAgSb2
Source: the Alexandria database
Functional: PBE
Structure: relaxed

Values from the calculation:
D(E_F) ... 0.428 states/eV per atom
Raw formation energy ... -32 meV/atom
VASP energy ... -3.136 eV/atom
Density ... 5.78 Mg/m³
SG ... No. 160

Cell: 6.036 6.036 6.036 Å, 47.01 47.01 47.01°
Fractional coordinates of all 4 atoms:
Na1 0.000 0.000 0.000
Ag1 0.812 0.812 0.812
Sb1 0.228 0.228 0.228
Sb2 0.414 0.414 0.414

No. 6
Compound: KNaNO2
Source: the Alexandria database
Functional: PBE
Structure: relaxed

Values from the calculation:
D(E_F) ... 0.894 states/eV per atom
Raw formation energy ... 805 meV/atom
VASP energy ... -3.326 eV/atom
Density ... 1.98 Mg/m³
SG ... No. 123

Cell: 4.438 4.438 4.602 Å, 90.00 90.00 90.00°
Fractional coordinates of all 5 atoms:
K1 0.000 0.000 0.000
Na1 0.500 0.500 0.500
N1 0.500 0.500 0.000
O1 0.000 0.500 0.500
O2 0.500 0.000 0.500